Record 1
Computed, not measured: a geometry-optimized KTaTl2 structure at the GGA-PBE level of DFT.

Output
- Size of the total moment: 0.503 μB/atom
- Formation energy: 3.4 eV/f.u.
- Crystal system: cubic

abc: 5.3083 5.3083 5.3083
angles: 60.00 60.00 60.00
With the nearest neighbours (Å) after each atom.
Fractional positions:
Tl: 0.2500 0.2500 0.2500  4 Ta 3.25, 4 K 3.25
Tl: 0.7500 0.7500 0.7500  4 Ta 3.25, 4 K 3.25
K: 0.0000 0.0000 0.0000  8 Tl 3.25
Ta: 0.5000 0.5000 0.5000  8 Tl 3.25

***

Record 2
Computed, not measured: a geometry-optimized SrLa2Hg structure at the GGA-PBE level of DFT.

Output
- Size of the total moment: 0.000 μB/atom
- Formation energy: -0.3 eV/f.u.
- Crystal system: tetragonal

abc: 5.1984 5.1086 5.1086
angles: 90.00 90.00 90.00
With the nearest neighbours (Å) after each atom.
Fractional positions:
Hg: 0.5000 0.0000 0.5000  4 Sr 3.61, 8 La 3.64
La: 0.0000 0.0000 0.0000  4 La 3.61, 4 Hg 3.64, 4 Sr 3.64
La: 0.0000 0.5000 0.5000  4 La 3.61, 4 Hg 3.64, 4 Sr 3.64
Sr: 0.5000 0.5000 0.0000  4 Hg 3.61, 8 La 3.64

***

Record 3
Computed, not measured: a geometry-optimized KLi2Cl2F structure at the GGA-PBE level of DFT.

Output
- DFT total energy: -3.92 eV per atom
- Size of the total moment: 0.000 μB/atom
- Crystal system: orthorhombic

abc: 5.2815 7.2671 7.2719
angles: 104.39 90.00 90.00
With the nearest neighbours (Å) after each atom.
Fractional positions:
K: 0.7500 0.3213 0.6788  6 Cl 3.32-3.39
K: 0.2500 0.6787 0.3212  6 Cl 3.32-3.39
Li: 0.5000 0.1417 0.1416  2 F 1.90
Li: 0.0000 0.1417 0.1416  2 F 1.90
Li: 0.0000 0.8583 0.8584  2 F 1.90
Li: 0.5000 0.8583 0.8584  2 F 1.90
Cl: 0.2500 0.1599 0.4098  2 Li 2.33
Cl: 0.2500 0.5900 0.8406  2 Li 2.33
Cl: 0.7500 0.8401 0.5902  2 Li 2.33
Cl: 0.7500 0.4100 0.1594  2 Li 2.33
F: 0.2500 0.0461 0.9539  4 Li 1.90
F: 0.7500 0.9539 0.0461  4 Li 1.90

***

Record 4
Computed, not measured: a geometry-optimized Mg2GeBi structure at the GGA-PBE level of DFT.

Output
- Size of the total moment: 0.000 μB/atom
- Formation energy: -0.1 eV/f.u.
- Crystal system: cubic

abc: 5.0971 5.0971 5.0971
angles: 60.00 60.00 60.00
With the nearest neighbours (Å) after each atom.
Fractional positions:
Mg: 0.2500 0.2500 0.2500  4 Ge 3.12, 4 Bi 3.12
Mg: 0.7500 0.7500 0.7500  4 Ge 3.12, 4 Bi 3.12
Ge: 0.0000 0.0000 0.0000  8 Mg 3.12
Bi: 0.5000 0.5000 0.5000  8 Mg 3.12

***

Record 5
Computed, not measured: a geometry-optimized AcPrO2 structure at the GGA-PBE level of DFT.

Output
- DFT total energy: -7.21 eV per atom
- Size of the total moment: 0.000 μB/atom
- Crystal system: trigonal

abc: 3.6521 3.6521 6.6785
angles: 74.13 74.13 60.00
With the nearest neighbours (Å) after each atom.
Fractional positions:
Ac: 0.6722 0.6722 0.9835  6 O 2.61-2.74
Pr: 0.4948 0.4948 0.5156  6 O 2.55-2.66
O: 0.0862 0.0862 0.7414  3 Pr 2.55, 3 Ac 2.61
O: 0.2469 0.2469 0.2594  3 Pr 2.66, 3 Ac 2.74

***

Record 6
Computed, not measured: a geometry-optimized KBaMn2 structure at the GGA-PBE level of DFT.

Output
- Size of the total moment: 1.940 μB/atom
- Formation energy: 4.2 eV/f.u.
- Crystal system: trigonal

abc: 11.3361 11.3361 11.3361
angles: 19.31 19.31 19.31
With the nearest neighbours (Å) after each atom.
Fractional positions:
Ba: 0.2500 0.2500 0.2500  6 Mn 3.44, 6 Ba 3.80
K: 0.7500 0.7500 0.7500  6 Mn 3.65, 6 K 3.80
Mn: 0.9960 0.9960 0.9960  3 Ba 3.44, 3 K 3.65, 6 Mn 3.80
Mn: 0.5040 0.5040 0.5040  3 Ba 3.44, 3 K 3.65, 6 Mn 3.80

***

Record 7
Computed, not measured: a geometry-optimized GaCu2Bi structure at the GGA-PBE level of DFT.

Output
- Size of the total moment: 0.000 μB/atom
- Formation energy: 1.0 eV/f.u.
- Crystal system: cubic

abc: 4.7109 4.7109 4.7109
angles: 60.00 60.00 60.00
With the nearest neighbours (Å) after each atom.
Fractional positions:
Cu: 0.2500 0.2500 0.2500  4 Bi 2.88, 4 Ga 2.88
Cu: 0.7500 0.7500 0.7500  4 Bi 2.88, 4 Ga 2.88
Bi: 0.5000 0.5000 0.5000  8 Cu 2.88
Ga: 0.0000 0.0000 0.0000  8 Cu 2.88

***

Record 8
Computed, not measured: a geometry-optimized Y3HfFe8 structure at the GGA-PBE level of DFT.

Output
- Size of the total moment: 1.073 μB/atom
- Formation energy: -1.4 eV/f.u.
- Crystal system: trigonal

abc: 5.0933 5.0933 8.8247
angles: 73.23 73.23 60.00
With the nearest neighbours (Å) after each atom.
Fractional positions:
Y: 0.3748 0.3748 0.8755  12 Fe 2.99-3.03, 4 Y 3.12-3.13
Y: 0.9995 0.9995 0.0015  12 Fe 2.99-3.06, 1 Hf 3.10, 3 Y 3.12
Y: 0.5001 0.5001 0.4996  12 Fe 2.93-2.99, 3 Hf 3.12, 1 Y 3.13
Hf: 0.8751 0.8751 0.3747  12 Fe 2.93-2.98, 4 Y 3.10-3.12
Fe: 0.9337 0.4361 0.1941  6 Fe 2.50-2.58
Fe: 0.4436 0.9378 0.6808  6 Fe 2.52-2.59
Fe: 0.4361 0.4361 0.1941  6 Fe 2.50-2.58
Fe: 0.9378 0.9378 0.6808  6 Fe 2.52-2.59
Fe: 0.1879 0.1879 0.4362  6 Fe 2.50-2.52
Fe: 0.6873 0.6873 0.9380  6 Fe 2.58-2.59
Fe: 0.4361 0.9337 0.1941  6 Fe 2.50-2.58
Fe: 0.9378 0.4436 0.6808  6 Fe 2.52-2.59

***

Record 9
Computed, not measured: a geometry-optimized Sm4SnGe structure at the GGA-PBE level of DFT.

Output
- Size of the total moment: 0.085 μB/atom
- Formation energy: -3.4 eV/f.u.
- Crystal system: monoclinic

abc: 5.9115 6.7093 9.5500
angles: 90.00 114.19 90.00
With the nearest neighbours (Å) after each atom.
Fractional positions:
Sm: 0.6101 0.2500 0.4372  2 Ge 2.96-3.27, 1 Sn 3.16
Sm: 0.3899 0.7500 0.5628  2 Ge 2.96-3.27, 1 Sn 3.16
Sm: 0.6313 0.2500 0.8700  1 Ge 3.05, 3 Sn 3.34-3.39
Sm: 0.3687 0.7500 0.1300  1 Ge 3.05, 3 Sn 3.34-3.39
Sm: 0.9544 0.0090 0.2471  2 Ge 3.06-3.11, 1 Sm 3.23, 1 Sn 3.33
Sm: 0.0457 0.5090 0.7529  2 Ge 3.06-3.11, 1 Sm 3.23, 1 Sn 3.33
Sm: 0.9544 0.4910 0.2471  2 Ge 3.06-3.11, 1 Sm 3.23, 1 Sn 3.33
Sm: 0.0457 0.9910 0.7529  2 Ge 3.06-3.11, 1 Sm 3.23, 1 Sn 3.33
Sn: 0.2936 0.2500 0.0780  8 Sm 3.16-3.45
Sn: 0.7064 0.7500 0.9220  8 Sm 3.16-3.45
Ge: 0.2118 0.2500 0.5490  7 Sm 2.96-3.27
Ge: 0.7882 0.7500 0.4510  7 Sm 2.96-3.27

***

Record 10
Computed, not measured: a geometry-optimized CeEr2Pu structure at the GGA-PBE level of DFT.

Output
- Size of the total moment: 1.360 μB/atom
- Formation energy: 0.5 eV/f.u.
- Crystal system: tetragonal

abc: 3.5013 3.5013 9.6291
angles: 90.00 90.00 90.00
With the nearest neighbours (Å) after each atom.
Fractional positions:
Er: 0.0000 0.0000 0.2470  4 Pu 3.43, 4 Ce 3.47, 4 Er 3.50
Er: 0.0000 0.0000 0.7530  4 Pu 3.43, 4 Ce 3.47, 4 Er 3.50
Ce: 0.5000 0.5000 0.5000  8 Er 3.47, 4 Ce 3.50
Pu: 0.5000 0.5000 0.0000  8 Er 3.43, 4 Pu 3.50

***

Record 11
Computed, not measured: a geometry-optimized YTh3Bi4 structure at the GGA-PBE level of DFT.

Output
- Size of the total moment: 0.000 μB/atom
- Formation energy: -5.1 eV/f.u.
- Crystal system: orthorhombic

abc: 4.5679 7.9195 7.9195
angles: 109.41 90.00 90.00
With the nearest neighbours (Å) after each atom.
Fractional positions:
Y: 0.5000 0.0000 0.0000  6 Bi 3.19
Th: 0.0000 0.0000 0.5000  6 Bi 3.23
Th: 0.5000 0.5000 0.5000  6 Bi 3.27-3.28
Th: 0.0000 0.5000 0.0000  6 Bi 3.23
Bi: 0.0000 0.2440 0.2440  2 Y 3.19, 4 Th 3.23-3.27
Bi: 0.5000 0.7534 0.2466  1 Y 3.19, 5 Th 3.23-3.28
Bi: 0.0000 0.7560 0.7560  2 Y 3.19, 4 Th 3.23-3.27
Bi: 0.5000 0.2466 0.7534  1 Y 3.19, 5 Th 3.23-3.28

***

Record 12
Computed, not measured: a geometry-optimized Pu2ScPa structure at the GGA-PBE level of DFT.

Output
- Size of the total moment: 2.682 μB/atom
- Formation energy: 0.9 eV/f.u.
- Crystal system: tetragonal

abc: 3.2158 5.4357 5.4357
angles: 90.00 90.00 90.00
With the nearest neighbours (Å) after each atom.
Fractional positions:
Sc: 0.5000 0.0000 0.0000  8 Pu 3.16, 2 Sc 3.22
Pa: 0.5000 0.5000 0.5000  8 Pu 3.16, 2 Pa 3.22
Pu: 0.0000 0.0000 0.5000  4 Pa 3.16, 4 Sc 3.16, 2 Pu 3.22
Pu: 0.0000 0.5000 0.0000  4 Pa 3.16, 4 Sc 3.16, 2 Pu 3.22

***

Record 13
Computed, not measured: a geometry-optimized Rb2GeBiS4 structure at the GGA-PBE level of DFT.

Output
- DFT total energy: -3.98 eV per atom
- Size of the total moment: 0.000 μB/atom
- Crystal system: tetragonal

abc: 7.3979 7.3979 7.3979
angles: 89.21 120.46 120.46
With the nearest neighbours (Å) after each atom.
Fractional positions:
Rb: 0.5000 0.7500 0.2500  4 S 3.34
Rb: 0.0000 0.0000 0.0000  4 S 3.43
Ge: 0.0000 0.5000 0.5000  4 S 2.37
Bi: 0.5000 0.2500 0.7500  4 S 2.72
S: 0.6137 0.3865 0.4561  1 Ge 2.37
S: 0.0697 0.2273 0.6135  1 Ge 2.37
S: 0.9303 0.5439 0.1576  1 Ge 2.37
S: 0.3863 0.8424 0.7727  1 Ge 2.37